No. 1
This record from Alexandria via LeMat-Bulk describes crystalline Ac2ErTl at its relaxed geometry. The functional is GGA-PBE.

Unit cell a=3.8968 b=3.8968 c=34.4157 alpha=90.00 beta=90.00 gamma=120.00
Closest atoms and distances in Å follow each position.
Space group R3m (No. 160, hexagonal axes)
Inequivalent atoms, fractional coordinates:
Ac1 0.0000 0.0000 0.0000 (multiplicity 3)  3 Tl 3.56, 3 Er 3.73, 6 Ac 3.90
Ac2 0.0000 0.0000 0.1727 (multiplicity 3)  3 Tl 3.56, 3 Er 3.73, 6 Ac 3.90
Er1 0.0000 0.0000 0.7529 (multiplicity 3)  6 Ac 3.73, 6 Er 3.90
Tl1 0.0000 0.0000 0.5864 (multiplicity 3)  6 Ac 3.56, 6 Tl 3.90

The spin magnetization is 0.4 μB/f.u. For the density of states at the Fermi level, the calculation gives 1.539 states/eV/atom. The value obtained for the polymorph energy (0 for the lowest one) is 0.059 eV per atom. The calculation puts the formation energy at -35 meV per atom.


No. 2
This record from Alexandria via LeMat-Bulk describes crystalline ZrPd3Au at its relaxed geometry. The functional is GGA-PBE.

Unit cell a=4.6416 b=5.7210 c=6.9041 alpha=90.00 beta=109.64 gamma=90.00
Closest atoms and distances in Å follow each position.
Space group P2_1/m (No. 11)
Inequivalent atoms, fractional coordinates:
Zr1 0.1140 0.2500 0.2270 (multiplicity 2)  8 Pd 2.77-2.94, 3 Au 2.86-3.06
Pd1 0.3120 0.0033 0.6241 (multiplicity 4)  6 Pd 2.79-2.90, 3 Au 2.85-2.87, 3 Zr 2.90-2.94
Pd2 0.4979 0.2500 0.9948 (multiplicity 2)  2 Zr 2.77, 2 Au 2.79, 6 Pd 2.79-2.87
Au1 0.1215 0.7500 0.2433 (multiplicity 2)  8 Pd 2.79-2.87, 3 Zr 2.86-3.06

The spin magnetization is 0.0 μB/f.u. For the density of states at the Fermi level, the calculation gives 0.570 states/eV/atom. The value obtained for the polymorph energy (0 for the lowest one) is 0.000 eV per atom. The calculation puts the formation energy at -487 meV per atom.


No. 3
This record from Alexandria via LeMat-Bulk describes crystalline Ac6P2I3N at its relaxed geometry. The functional is GGA-PBE.

Unit cell a=7.4283 b=12.8544 c=8.6024 alpha=90.00 beta=106.72 gamma=90.00
Closest atoms and distances in Å follow each position.
Space group C2/m (No. 12)
Inequivalent atoms, fractional coordinates:
Ac1 0.2172 0.1555 0.1857 (multiplicity 8)  1 N 2.77, 2 P 2.99
Ac2 0.2484 0.0000 0.8124 (multiplicity 4)  1 N 2.78, 2 P 2.99
P1 0.0000 0.3339 0.0000 (multiplicity 4)  6 Ac 2.99
I1 0.0000 0.1728 0.5000 (multiplicity 4)  6 Ac 3.53-3.65
I2 0.0000 0.5000 0.5000 (multiplicity 2)  6 Ac 3.53-3.69
N1 0.0000 0.0000 0.0000 (multiplicity 2)  6 Ac 2.77-2.78

The spin magnetization is 0.0 μB/f.u. For the density of states at the Fermi level, the calculation gives 0.454 states/eV/atom. The total energy is -5.25 eV per atom.


No. 4
This record from Alexandria via LeMat-Bulk describes crystalline TbCe2Si6 at its relaxed geometry. The functional is GGA-PBE.

Unit cell a=7.0499 b=7.0499 c=4.0802 alpha=90.00 beta=90.00 gamma=120.00
Closest atoms and distances in Å follow each position.
Space group P6/mmm (No. 191)
Inequivalent atoms, fractional coordinates:
Tb1 0.0000 0.0000 0.0000 (multiplicity 1)  12 Si 3.11
Ce1 0.3333 0.6667 0.0000 (multiplicity 2)  12 Si 3.11
Si1 0.0000 0.3330 0.5000 (multiplicity 6)  3 Si 2.35

The spin magnetization is 0.0 μB/f.u. For the density of states at the Fermi level, the calculation gives 0.881 states/eV/atom. The total energy is -6.08 eV per atom.


No. 5
This record from Alexandria via LeMat-Bulk describes crystalline BeAlP2O at its relaxed geometry. The functional is GGA-PBE.

Unit cell a=4.9103 b=4.9103 c=3.3191 alpha=90.00 beta=90.00 gamma=90.00
Closest atoms and distances in Å follow each position.
Space group P4/mmm (No. 123)
Inequivalent atoms, fractional coordinates:
Be1 0.0000 0.0000 0.0000 (multiplicity 1)  8 P 2.96
Al1 0.5000 0.5000 0.5000 (multiplicity 1)  2 O 1.66
P1 0.0000 0.5000 0.5000 (multiplicity 2)  2 Al 2.46
O1 0.5000 0.5000 0.0000 (multiplicity 1)  2 Al 1.66

The spin magnetization is 0.0 μB/f.u. For the density of states at the Fermi level, the calculation gives 0.535 states/eV/atom. The value obtained for the polymorph energy (0 for the lowest one) is 0.349 eV per atom.


No. 6
This record from Alexandria via LeMat-Bulk describes crystalline CdCu2As at its relaxed geometry. The functional is GGA-PBE.

Unit cell a=3.0940 b=4.1374 c=5.2712 alpha=90.00 beta=99.29 gamma=90.00
Closest atoms and distances in Å follow each position.
Space group Pm (No. 6)
Inequivalent atoms, fractional coordinates:
Cd1 0.0000 0.0000 0.0000 (multiplicity 1)  7 Cu 2.74-2.97, 2 As 3.06
Cu1 0.5394 0.5000 0.1904 (multiplicity 1)  2 Cu 2.53, 2 As 2.61-2.62, 4 Cd 2.74-2.79
Cu2 0.6777 0.0000 0.4677 (multiplicity 1)  2 Cu 2.53, 4 As 2.56-2.79, 2 Cd 2.80-2.82
As1 0.1493 0.5000 0.5953 (multiplicity 1)  6 Cu 2.56-2.79

The spin magnetization is 0.0 μB/f.u. For the density of states at the Fermi level, the calculation gives 0.186 states/eV/atom. The value obtained for the polymorph energy (0 for the lowest one) is 0.006 eV per atom. The calculation puts the formation energy at 119 meV per atom.


No. 7
This record from Alexandria via LeMat-Bulk describes crystalline PrGdGe2 at its relaxed geometry. The functional is GGA-PBE.

Unit cell a=4.7441 b=4.7441 c=16.1591 alpha=90.00 beta=90.00 gamma=120.00
Closest atoms and distances in Å follow each position.
Space group R-3m (No. 166, hexagonal axes)
Inequivalent atoms, fractional coordinates:
Pr1 0.0000 0.0000 0.0000 (multiplicity 3)  6 Ge 3.10
Gd1 0.0000 0.0000 0.5000 (multiplicity 3)  6 Ge 3.01
Ge1 0.0000 0.0000 0.2432 (multiplicity 6)  3 Gd 3.01, 3 Pr 3.10

The spin magnetization is 7.1 μB/f.u. For the density of states at the Fermi level, the calculation gives 0.724 states/eV/atom. The value obtained for the polymorph energy (0 for the lowest one) is 0.000 eV per atom. The calculation puts the formation energy at -661 meV per atom.


No. 8
This record from Alexandria via LeMat-Bulk describes crystalline SrInTc2Pt at its relaxed geometry. The functional is GGA-PBE.

Unit cell a=5.0847 b=5.0847 c=5.0609 alpha=90.00 beta=90.00 gamma=90.00
Closest atoms and distances in Å follow each position.
Space group P4/mmm (No. 123)
Inequivalent atoms, fractional coordinates:
Sr1 0.0000 0.0000 0.0000 (multiplicity 1)  8 Tc 3.59, 4 Pt 3.60
In1 0.5000 0.5000 0.5000 (multiplicity 1)  2 Pt 2.53, 4 Tc 2.54
Tc1 0.0000 0.5000 0.5000 (multiplicity 2)  2 In 2.54
Pt1 0.5000 0.5000 0.0000 (multiplicity 1)  2 In 2.53

The spin magnetization is 5.1 μB/f.u. For the density of states at the Fermi level, the calculation gives 1.403 states/eV/atom. The calculation puts the formation energy at 1215 meV per atom.


What is the spin magnetization in the third record?
0.0 μB/f.u.


What is the spin magnetization in the sixth record?
0.0 μB/f.u.


Look up the spin magnetization of the sixth one.
0.0 μB/f.u.